First-principles (PBE) data for an optimized crystal structure of SrSiIrO6, as listed in Alexandria.

Cell: 5.018 5.018 5.438 Å, 90.00 90.00 120.00°
Fractional coordinates of all 9 atoms:
Sr1 0.000 0.000 0.000
Si1 0.667 0.333 0.500
Ir1 0.333 0.667 0.500
O1 0.389 0.022 0.311
O2 0.389 0.367 0.689
O3 0.633 0.022 0.689
O4 0.633 0.611 0.311
O5 0.978 0.367 0.311
O6 0.978 0.611 0.689

Values from the calculation:
Formation energy without anion corrections: -1.8662 eV per atom
Final energy: -6.946 eV/atom